(1)
Entry from the Alexandria database: SrLa2NdP4 after structural relaxation (PBE).

Calculated values
The formation energy is -1037 kJ/mol of formula units.

Cell lengths 7.375, 4.270, 7.425 Å; angles 90.00, 109.54, 90.00 degrees
Space group P2/m (No. 10)
One atom of each set of equivalent atoms:
Sr (0.000, 0.000, 0.000) x1
La (0.500, 0.000, 0.500) x1
La (0.500, 0.500, 0.000) x1
Nd (0.000, 0.500, 0.500) x1
P (0.251, 0.000, 0.743) x2
P (0.257, 0.500, 0.261) x2

(2)
Entry from the Alexandria database: SrPmCdSb after structural relaxation (PBE).

Calculated values
The calculation puts the formation energy without anion corrections at -532 meV per atom.

Cell lengths 7.851, 7.851, 7.851 Å; angles 90.00, 90.00, 90.00 degrees
Space group F-43m (No. 216)
One atom of each set of equivalent atoms:
Sr (0.000, 0.000, 0.000) x4
Pm (0.000, 0.000, 0.500) x4
Cd (0.250, 0.250, 0.750) x4
Sb (0.250, 0.250, 0.250) x4

(3)
Entry from the Alexandria database: CrCo3Pb after structural relaxation (PBE).

Calculated values
The formation energy is 1070 kJ/mol of formula units. Its polymorph energy (0 for the lowest one) is 1181.0 meV/atom.

Cell lengths 4.706, 4.706, 4.706 Å; angles 90.00, 90.00, 90.00 degrees
Space group Pm-3m (No. 221)
One atom of each set of equivalent atoms:
Cr (0.000, 0.000, 0.000) x1
Co (0.000, 0.500, 0.500) x3
Pb (0.500, 0.500, 0.500) x1

(4)
Entry from the Alexandria database: Th2B4Os5 after structural relaxation (PBE).

Calculated values
The formation energy is -456 kJ/mol of formula units.

Cell lengths 5.544, 9.848, 11.720 Å; angles 90.00, 90.00, 90.00 degrees
Space group Fmmm (No. 69)
One atom of each set of equivalent atoms:
Th (0.000, 0.000, 0.141) x8
B (0.000, 0.160, 0.368) x16
Os (0.000, 0.000, 0.500) x4
Os (0.250, 0.250, 0.000) x8
Os (0.250, 0.250, 0.250) x8

(5)
Entry from the Alexandria database: Nb3AsN after structural relaxation (PBE).

Calculated values
The calculation puts the formation energy without anion corrections at -443 meV per atom. Its polymorph energy (0 for the lowest one) is 0.0 meV/atom.

Cell lengths 4.247, 4.247, 4.247 Å; angles 90.00, 90.00, 90.00 degrees
Space group Pm-3m (No. 221)
One atom of each set of equivalent atoms:
Nb (0.000, 0.000, 0.500) x3
As (0.500, 0.500, 0.500) x1
N (0.000, 0.000, 0.000) x1

(6)
Entry from the Alexandria database: PuMoOs2 after structural relaxation (PBE).

Calculated values
The formation energy is 49 kJ/mol of formula units.

Cell lengths 3.010, 3.010, 7.557 Å; angles 90.00, 90.00, 90.00 degrees
Space group P4/mmm (No. 123)
One atom of each set of equivalent atoms:
Pu (0.000, 0.000, 0.000) x1
Mo (0.000, 0.000, 0.500) x1
Os (0.500, 0.500, 0.285) x2

(7)
Entry from the Alexandria database: LaCd2Os after structural relaxation (PBE).

Calculated values
The formation energy is 108 kJ/mol of formula units.

Cell lengths 3.162, 4.715, 5.803 Å; angles 90.00, 90.00, 90.00 degrees
Space group Pmmm (No. 47)
One atom of each set of equivalent atoms:
La (0.000, 0.000, 0.000) x1
Cd (0.500, 0.500, 0.273) x2
Os (0.000, 0.000, 0.500) x1

(8)
Entry from the Alexandria database: ZrSi2Pt after structural relaxation (PBE).

Calculated values
The calculation puts the formation energy without anion corrections at -725 meV per atom.

Cell lengths 3.162, 3.984, 5.299 Å; angles 90.00, 90.00, 90.00 degrees
Space group Pmmm (No. 47)
One atom of each set of equivalent atoms:
Zr (0.000, 0.000, 0.000) x1
Si (0.500, 0.500, 0.237) x2
Pt (0.500, 0.000, 0.500) x1

Number 1: total DFT energy (no corrections) -6.087 eV per atom, ρ 4.77 g/cm³. Number 2: total DFT energy (no corrections) -3.399 eV per atom, ρ 6.41 g/cm³. Number 3: total DFT energy (no corrections) -4.713 eV per atom, ρ 6.94 g/cm³. Number 4: total DFT energy (no corrections) -9.311 eV per atom, ρ 15.14 g/cm³. Number 5: total DFT energy (no corrections) -9.080 eV per atom, ρ 7.97 g/cm³. Number 6: total DFT energy (no corrections) -11.778 eV per atom, ρ 17.48 g/cm³. Number 7: total DFT energy (no corrections) -4.217 eV per atom, ρ 10.63 g/cm³. Number 8: total DFT energy (no corrections) -7.084 eV per atom, ρ 8.52 g/cm³.